(1)
Here is an optimized crystal structure of PmEu2Tm from Alexandria via LeMat-Bulk. Energies are from GGA-PBE.

Properties
energy above the lowest structure with this stoichiometry: 0.000 eV per atom

a b c (Å): 8.300 8.300 8.300
angles (deg): 90.00 90.00 90.00
Fractional positions:
Pm 0.000 0.000 0.000
Pm 0.000 0.500 0.500
Pm 0.500 0.000 0.500
Pm 0.500 0.500 0.000
Eu 0.250 0.250 0.250
Eu 0.250 0.250 0.750
Eu 0.250 0.750 0.250
Eu 0.250 0.750 0.750
Eu 0.750 0.250 0.250
Eu 0.750 0.250 0.750
Eu 0.750 0.750 0.250
Eu 0.750 0.750 0.750
Tm 0.000 0.000 0.500
Tm 0.000 0.500 0.000
Tm 0.500 0.000 0.000
Tm 0.500 0.500 0.500

(2)
Here is an optimized crystal structure of PmEu2Tm from Alexandria via LeMat-Bulk. Energies are from GGA-PBE.

Properties
energy above the lowest structure with this stoichiometry: 0.077 eV per atom

a b c (Å): 3.581 3.581 38.824
angles (deg): 90.00 90.00 120.00
Fractional positions:
Pm 0.000 0.000 0.000
Pm 0.333 0.667 0.667
Pm 0.667 0.333 0.333
Eu 0.000 0.000 0.414
Eu 0.000 0.000 0.586
Eu 0.333 0.667 0.081
Eu 0.333 0.667 0.253
Eu 0.667 0.333 0.747
Eu 0.667 0.333 0.919
Tm 0.000 0.000 0.500
Tm 0.333 0.667 0.167
Tm 0.667 0.333 0.833

(3)
Here is an optimized crystal structure of PmEuTm from Alexandria via LeMat-Bulk. Energies are from GGA-PBE.

a b c (Å): 3.670 3.670 15.456
angles (deg): 90.00 90.00 90.00
Fractional positions:
Pm 0.000 0.000 0.000
Pm 0.500 0.500 0.500
Eu 0.000 0.000 0.677
Eu 0.500 0.500 0.177
Tm 0.000 0.000 0.349
Tm 0.500 0.500 0.849

(4)
Here is an optimized crystal structure of PmEuTm4 from Alexandria via LeMat-Bulk. Energies are from GGA-PBE.

a b c (Å): 6.648 6.648 6.648
angles (deg): 60.00 60.00 60.00
Fractional positions:
Pm 0.000 0.000 0.000
Eu 0.250 0.250 0.250
Tm 0.122 0.626 0.626
Tm 0.626 0.122 0.626
Tm 0.626 0.626 0.122
Tm 0.626 0.626 0.626

(5)
Here is an optimized crystal structure of PmEu2Tm from Alexandria via LeMat-Bulk. Energies are from GGA-PBE.

Properties
energy above the lowest structure with this stoichiometry: 0.006 eV per atom

a b c (Å): 5.921 5.921 4.075
angles (deg): 90.00 90.00 90.00
Fractional positions:
Pm 0.000 0.000 0.000
Eu 0.000 0.500 0.500
Eu 0.500 0.000 0.500
Tm 0.500 0.500 0.000

(6)
Here is an optimized crystal structure of PmEuTm from Alexandria via LeMat-Bulk. Energies are from GGA-PBE.

a b c (Å): 3.651 3.651 8.968
angles (deg): 90.00 90.00 120.00
Fractional positions:
Pm 0.000 0.000 0.000
Eu 0.333 0.667 0.648
Tm 0.667 0.333 0.311

(7)
Here is an optimized crystal structure of PmEuY2 from Alexandria via LeMat-Bulk. Energies are from GGA-PBE.

Properties
energy above the lowest structure with this stoichiometry: 0.000 eV per atom

a b c (Å): 3.670 3.670 10.336
angles (deg): 90.00 90.00 90.00
Fractional positions:
Pm 0.000 0.000 0.000
Eu 0.000 0.000 0.500
Y 0.500 0.500 0.237
Y 0.500 0.500 0.763

(8)
Here is an optimized crystal structure of Pm2EuY from Alexandria via LeMat-Bulk. Energies are from GGA-PBE.

Properties
energy above the lowest structure with this stoichiometry: 0.103 eV per atom

a b c (Å): 8.261 8.261 8.261
angles (deg): 90.00 90.00 90.00
Fractional positions:
Pm 0.250 0.250 0.250
Pm 0.250 0.250 0.750
Pm 0.250 0.750 0.250
Pm 0.250 0.750 0.750
Pm 0.750 0.250 0.250
Pm 0.750 0.250 0.750
Pm 0.750 0.750 0.250
Pm 0.750 0.750 0.750
Eu 0.000 0.000 0.000
Eu 0.000 0.500 0.500
Eu 0.500 0.000 0.500
Eu 0.500 0.500 0.000
Y 0.000 0.000 0.500
Y 0.000 0.500 0.000
Y 0.500 0.000 0.000
Y 0.500 0.500 0.500

(9)
Here is an optimized crystal structure of Pm2EuY from Alexandria via LeMat-Bulk. Energies are from GGA-PBE.

Properties
energy above the lowest structure with this stoichiometry: 0.005 eV per atom

a b c (Å): 3.672 3.672 10.440
angles (deg): 90.00 90.00 90.00
Fractional positions:
Pm 0.000 0.000 0.237
Pm 0.000 0.000 0.763
Eu 0.500 0.500 0.500
Y 0.500 0.500 0.000

(10)
Here is an optimized crystal structure of PmEuY2 from Alexandria via LeMat-Bulk. Energies are from GGA-PBE.

Properties
energy above the lowest structure with this stoichiometry: 0.085 eV per atom

a b c (Å): 8.208 8.208 8.208
angles (deg): 90.00 90.00 90.00
Fractional positions:
Pm 0.000 0.000 0.000
Pm 0.000 0.500 0.500
Pm 0.500 0.000 0.500
Pm 0.500 0.500 0.000
Eu 0.000 0.000 0.500
Eu 0.000 0.500 0.000
Eu 0.500 0.000 0.000
Eu 0.500 0.500 0.500
Y 0.250 0.250 0.250
Y 0.250 0.250 0.750
Y 0.250 0.750 0.250
Y 0.250 0.750 0.750
Y 0.750 0.250 0.250
Y 0.750 0.250 0.750
Y 0.750 0.750 0.250
Y 0.750 0.750 0.750

(11)
Here is an optimized crystal structure of PmEuY2 from Alexandria via LeMat-Bulk. Energies are from GGA-PBE.

Properties
energy above the lowest structure with this stoichiometry: 0.025 eV per atom

a b c (Å): 5.162 5.162 5.144
angles (deg): 90.00 90.00 90.00
Fractional positions:
Pm 0.000 0.000 0.000
Eu 0.500 0.500 0.000
Y 0.000 0.500 0.500
Y 0.500 0.000 0.500

(12)
Here is an optimized crystal structure of Pm2EuY from Alexandria via LeMat-Bulk. Energies are from GGA-PBE.

Properties
energy above the lowest structure with this stoichiometry: 0.040 eV per atom

a b c (Å): 5.187 5.187 5.185
angles (deg): 90.00 90.00 90.00
Fractional positions:
Pm 0.000 0.500 0.000
Pm 0.500 0.000 0.000
Eu 0.000 0.000 0.500
Y 0.500 0.500 0.500

(13)
Here is an optimized crystal structure of Pm2EuY from Alexandria via LeMat-Bulk. Energies are from GGA-PBE.

Properties
energy above the lowest structure with this stoichiometry: 0.000 eV per atom

a b c (Å): 3.669 3.669 36.131
angles (deg): 90.00 90.00 120.00
Fractional positions:
Pm 0.000 0.000 0.246
Pm 0.000 0.000 0.754
Pm 0.333 0.667 0.420
Pm 0.333 0.667 0.913
Pm 0.667 0.333 0.087
Pm 0.667 0.333 0.580
Eu 0.000 0.000 0.000
Eu 0.333 0.667 0.667
Eu 0.667 0.333 0.333
Y 0.000 0.000 0.500
Y 0.333 0.667 0.167
Y 0.667 0.333 0.833

(14)
Here is an optimized crystal structure of PmEuZn from Alexandria via LeMat-Bulk. Energies are from GGA-PBE.

Properties
energy above the lowest structure with this stoichiometry: 0.230 eV per atom

a b c (Å): 7.303 7.303 7.303
angles (deg): 90.00 90.00 90.00
Fractional positions:
Pm 0.000 0.000 0.000
Pm 0.000 0.500 0.500
Pm 0.500 0.000 0.500
Pm 0.500 0.500 0.000
Eu 0.000 0.000 0.500
Eu 0.000 0.500 0.000
Eu 0.500 0.000 0.000
Eu 0.500 0.500 0.500
Zn 0.250 0.250 0.750
Zn 0.250 0.750 0.250
Zn 0.750 0.250 0.250
Zn 0.750 0.750 0.750

(15)
Here is an optimized crystal structure of Pm2EuZn from Alexandria via LeMat-Bulk. Energies are from GGA-PBE.

Properties
energy above the lowest structure with this stoichiometry: 0.000 eV per atom

a b c (Å): 3.713 3.713 8.994
angles (deg): 90.00 90.00 90.00
Fractional positions:
Pm 0.000 0.000 0.194
Pm 0.000 0.000 0.806
Eu 0.500 0.500 0.500
Zn 0.500 0.500 0.000

(16)
Here is an optimized crystal structure of PmEu2Zn from Alexandria via LeMat-Bulk. Energies are from GGA-PBE.

Properties
energy above the lowest structure with this stoichiometry: 0.198 eV per atom

a b c (Å): 7.876 7.876 7.876
angles (deg): 90.00 90.00 90.00
Fractional positions:
Pm 0.000 0.000 0.000
Pm 0.000 0.500 0.500
Pm 0.500 0.000 0.500
Pm 0.500 0.500 0.000
Eu 0.250 0.250 0.250
Eu 0.250 0.250 0.750
Eu 0.250 0.750 0.250
Eu 0.250 0.750 0.750
Eu 0.750 0.250 0.250
Eu 0.750 0.250 0.750
Eu 0.750 0.750 0.250
Eu 0.750 0.750 0.750
Zn 0.000 0.000 0.500
Zn 0.000 0.500 0.000
Zn 0.500 0.000 0.000
Zn 0.500 0.500 0.500

(17)
Here is an optimized crystal structure of PmEuZn from Alexandria via LeMat-Bulk. Energies are from GGA-PBE.

Properties
energy above the lowest structure with this stoichiometry: 0.000 eV per atom

a b c (Å): 3.730 3.730 12.836
angles (deg): 90.00 90.00 90.00
Fractional positions:
Pm 0.000 0.000 0.000
Pm 0.500 0.500 0.500
Eu 0.000 0.000 0.724
Eu 0.500 0.500 0.224
Zn 0.000 0.000 0.372
Zn 0.500 0.500 0.872

(18)
Here is an optimized crystal structure of PmEu2Zn from Alexandria via LeMat-Bulk. Energies are from GGA-PBE.

Properties
energy above the lowest structure with this stoichiometry: 0.115 eV per atom

a b c (Å): 4.918 4.918 5.085
angles (deg): 90.00 90.00 90.00
Fractional positions:
Pm 0.000 0.000 0.000
Eu 0.000 0.500 0.500
Eu 0.500 0.000 0.500
Zn 0.500 0.500 0.000

(19)
Here is an optimized crystal structure of PmEuZn from Alexandria via LeMat-Bulk. Energies are from GGA-PBE.

Properties
energy above the lowest structure with this stoichiometry: 0.177 eV per atom

a b c (Å): 5.141 5.141 3.795
angles (deg): 90.00 90.00 120.00
Fractional positions:
Pm 0.000 0.000 0.000
Eu 0.667 0.333 0.561
Zn 0.333 0.667 0.248

(20)
Here is an optimized crystal structure of PmEu2Zn from Alexandria via LeMat-Bulk. Energies are from GGA-PBE.

Properties
energy above the lowest structure with this stoichiometry: 0.000 eV per atom

a b c (Å): 3.718 3.718 9.269
angles (deg): 90.00 90.00 90.00
Fractional positions:
Pm 0.000 0.000 0.000
Eu 0.500 0.500 0.299
Eu 0.500 0.500 0.701
Zn 0.000 0.000 0.500

What magnetization values result from the calculations? In sequence: 3.604; 3.781; 2.394; 1.166; 3.683; 2.449; 1.949; 1.969; 1.827; 1.792; 1.777; 1.773; 1.864; 2.536; 1.947; 3.853; 2.446; 3.799; 2.425; 3.667 μB/atom.
What DFT total energy values result from the calculations? In sequence: -7.2824; -7.2052; -6.4440; -5.2233; -7.2764; -6.4441; -6.9292; -6.4220; -6.5200; -6.8444; -6.9044; -6.4859; -6.5255; -5.3836; -5.3825; -6.5210; -5.6134; -6.6046; -5.4365; -6.7192 eV per atom.